VASP calculation (PBE-GGA) on TbSmCoOs after structural relaxation.

Properties
**Final energy**: -6.938 eV/atom
**E_form**: -0.0163 eV per atom

a b c (Å): 6.864 6.864 6.864
angles (deg): 90.00 90.00 90.00
Space group F-43m (No. 216)
Unique sites:
Tb1 0.000 0.000 0.000
Sm1 0.000 0.000 0.500
Co1 0.250 0.250 0.750
Os1 0.250 0.250 0.250